[1]
## LiBW3 (SCAN)

Data for LiBW3 at its PBEsol-relaxed geometry.

Results
Spin magnetization (Bohr magnetons per cell): 0.00
Formation energy from the elements (kcal/mol of atoms): 49.56
Symmetry: Pm-3m

Lattice parameters (Å, degrees): 4.070 4.070 4.070 90.00 90.00 90.00
Positions (direct):
B 0.500 0.500 0.500
W 0.500 0.000 0.000
Li 0.000 0.000 0.000
W 0.000 0.000 0.500
W 0.000 0.500 0.000


[2]
## Sc2TaCd (SCAN)

Data for Sc2TaCd at its PBEsol-relaxed geometry.

Results
Spin magnetization (Bohr magnetons per cell): 0.70
Formation energy from the elements (kcal/mol of atoms): 0.50
Symmetry: R-3m

Lattice parameters (Å, degrees): 3.099 3.099 10.045 81.13 81.13 60.00
Positions (direct):
Sc 0.247 0.247 0.259
Sc 0.753 0.753 0.741
Cd 0.000 0.000 0.000
Ta 0.500 0.500 0.500


[3]
## BaFeRu (SCAN)

Data for BaFeRu at its PBEsol-relaxed geometry.

Results
Spin magnetization (Bohr magnetons per cell): 3.93
Formation energy from the elements (kcal/mol of atoms): 24.32
Symmetry: F-43m
Offset from the most stable computed form (meV/atom): 525

Lattice parameters (Å, degrees): 4.585 4.585 4.585 60.00 60.00 60.00
Positions (direct):
Ru 0.250 0.250 0.250
Ba 0.000 0.000 0.000
Fe 0.500 0.500 0.500


[4]
## TiHg2PdBr (SCAN)

Data for TiHg2PdBr at its PBEsol-relaxed geometry.

Results
Spin magnetization (Bohr magnetons per cell): 1.54
ΔE_f (raw) (eV per atom): -0.008
Symmetry: P4/mmm

Lattice parameters (Å, degrees): 4.780 5.142 5.142 90.00 90.00 90.00
Positions (direct):
Ti 0.500 0.000 0.000
Br 0.500 0.500 0.500
Hg 0.000 0.500 0.000
Hg 0.000 0.000 0.500
Pd 0.000 0.000 0.000


[5]
## AgAs2Pt (SCAN)

Data for AgAs2Pt at its PBEsol-relaxed geometry.

Results
Spin magnetization (Bohr magnetons per cell): 0.00
Formation energy from the elements (kcal/mol of atoms): 1.42
Symmetry: P4/mmm
Offset from the most stable computed form (meV/atom): 191

Lattice parameters (Å, degrees): 3.044 3.044 7.294 90.00 90.00 90.00
Positions (direct):
Pt 0.500 0.500 0.000
As 0.000 0.000 0.230
Ag 0.500 0.500 0.500
As 0.000 0.000 0.770


[6]
## SrZrCr (SCAN)

Data for SrZrCr at its PBEsol-relaxed geometry.

Results
Spin magnetization (Bohr magnetons per cell): 2.26
Formation energy from the elements (kcal/mol of atoms): 22.98
Symmetry: F-43m

Lattice parameters (Å, degrees): 4.843 4.843 4.843 60.00 60.00 60.00
Positions (direct):
Sr 0.000 0.000 0.000
Zr 0.500 0.500 0.500
Cr 0.250 0.250 0.250


[7]
## TeAu3 (SCAN)

Data for TeAu3 at its PBEsol-relaxed geometry.

Results
Spin magnetization (Bohr magnetons per cell): 0.00
ΔE_f (raw) (eV per atom): 0.145
Symmetry: P4/mmm

Lattice parameters (Å, degrees): 3.692 3.692 5.669 90.00 90.00 90.00
Positions (direct):
Au 0.000 0.000 0.242
Au 0.000 0.000 0.758
Te 0.500 0.500 0.500
Au 0.500 0.500 0.000


[8]
## Sr3TiGe (SCAN)

Data for Sr3TiGe at its PBEsol-relaxed geometry.

Results
Spin magnetization (Bohr magnetons per cell): 3.92
Formation energy from the elements (kcal/mol of atoms): 19.83
Symmetry: Pm-3m

Lattice parameters (Å, degrees): 5.821 5.821 5.821 90.00 90.00 90.00
Positions (direct):
Ti 0.000 0.000 0.000
Sr 0.500 0.000 0.000
Ge 0.500 0.500 0.500
Sr 0.000 0.500 0.000
Sr 0.000 0.000 0.500


[9]
## HgBiOsPd2 (SCAN)

Data for HgBiOsPd2 at its PBEsol-relaxed geometry.

Results
Spin magnetization (Bohr magnetons per cell): 0.00
Formation energy from the elements (kcal/mol of atoms): 23.70
Symmetry: P4/mmm

Lattice parameters (Å, degrees): 4.853 4.853 5.079 90.00 90.00 90.00
Positions (direct):
Os 0.000 0.000 0.000
Pd 0.500 0.000 0.000
Bi 0.000 0.000 0.500
Hg 0.500 0.500 0.500
Pd 0.000 0.500 0.000


[10]
## ScHPd3 (SCAN)

Data for ScHPd3 at its PBEsol-relaxed geometry.

Results
Spin magnetization (Bohr magnetons per cell): 0.12
Symmetry: Pm-3m
Offset from the most stable computed form (meV/atom): 1790

Lattice parameters (Å, degrees): 4.699 4.699 4.699 90.00 90.00 90.00
Positions (direct):
Pd 0.000 0.000 0.500
H 0.500 0.500 0.500
Sc 0.000 0.000 0.000
Pd 0.500 0.000 0.000
Pd 0.000 0.500 0.000


[11]
## LuSbPd2 (SCAN)

Data for LuSbPd2 at its PBEsol-relaxed geometry.

Results
Spin magnetization (Bohr magnetons per cell): 0.00
ΔE_f (raw) (eV per atom): -0.949
Symmetry: Fm-3m

Lattice parameters (Å, degrees): 4.688 4.688 4.688 60.00 60.00 60.00
Positions (direct):
Lu 0.500 0.500 0.500
Pd 0.750 0.750 0.750
Pd 0.250 0.250 0.250
Sb 0.000 0.000 0.000


[12]
## CdFe2Tc (SCAN)

Data for CdFe2Tc at its PBEsol-relaxed geometry.

Results
Spin magnetization (Bohr magnetons per cell): 5.41
Formation energy from the elements (kcal/mol of atoms): 5.51
Symmetry: Cmm2

Lattice parameters (Å, degrees): 2.617 2.617 8.479 90.00 90.00 107.48
Positions (direct):
Tc 0.000 0.000 0.528
Fe 0.500 0.500 0.759
Cd 0.500 0.500 0.240
Fe 0.000 0.000 0.973


[13]
## Be2CuW (SCAN)

Data for Be2CuW at its PBEsol-relaxed geometry.

Results
Spin magnetization (Bohr magnetons per cell): 0.00
Formation energy from the elements (kcal/mol of atoms): 1.51
Symmetry: P4/mmm
Offset from the most stable computed form (meV/atom): 133

Lattice parameters (Å, degrees): 3.267 3.647 3.647 90.00 90.00 90.00
Positions (direct):
Cu 0.500 0.500 0.500
Be 0.000 0.000 0.500
Be 0.000 0.500 0.000
W 0.500 0.000 0.000


[14]
## LaZrMn2 (SCAN)

Data for LaZrMn2 at its PBEsol-relaxed geometry.

Results
Spin magnetization (Bohr magnetons per cell): 5.63
Formation energy from the elements (kcal/mol of atoms): 2.75
Symmetry: P4/mmm
Offset from the most stable computed form (meV/atom): 134

Lattice parameters (Å, degrees): 3.304 4.771 4.771 90.05 90.00 90.00
Positions (direct):
La 0.500 0.500 0.500
Mn 0.000 0.500 0.000
Mn 0.000 0.000 0.500
Zr 0.500 0.000 0.000


[15]
## CsZnP2S (SCAN)

Data for CsZnP2S at its PBEsol-relaxed geometry.

Results
Spin magnetization (Bohr magnetons per cell): 6.07
ΔE_f (raw) (eV per atom): 1.631
Symmetry: P4/mmm

Lattice parameters (Å, degrees): 5.521 7.027 7.027 90.00 90.00 90.00
Positions (direct):
P 0.000 0.500 0.000
Cs 0.000 0.000 0.000
S 0.500 0.000 0.000
P 0.000 0.000 0.500
Zn 0.500 0.500 0.500


[16]
## Ba8Fe3N8 (SCAN)

Data for Ba8Fe3N8 at its PBEsol-relaxed geometry.

Results
Spin magnetization (Bohr magnetons per cell): 6.48
ΔE_f (raw) (eV per atom): -0.666
Symmetry: C2/m

Lattice parameters (Å, degrees): 5.641 7.726 10.109 104.96 106.20 90.00
Positions (direct):
N 0.179 0.417 0.358
N 0.729 0.834 0.458
Fe 0.813 0.798 0.627
N 0.478 0.700 0.956
Ba 0.333 0.532 0.666
Ba 0.028 0.271 0.057
N 0.110 0.023 0.221
N 0.271 0.166 0.542
Ba 0.798 0.199 0.595
Ba 0.202 0.801 0.405
Ba 0.601 0.952 0.202
N 0.890 0.977 0.779
N 0.522 0.300 0.044
N 0.821 0.583 0.642
Ba 0.667 0.468 0.334
Ba 0.399 0.048 0.798
Fe 0.500 0.500 0.000
Fe 0.187 0.202 0.373
Ba 0.972 0.729 0.943


[17]
## LiReSnHg2 (SCAN)

Data for LiReSnHg2 at its PBEsol-relaxed geometry.

Results
Spin magnetization (Bohr magnetons per cell): 3.51
Formation energy from the elements (kcal/mol of atoms): 27.31
Symmetry: P4/mmm

Lattice parameters (Å, degrees): 4.580 4.580 4.843 90.00 90.00 90.00
Positions (direct):
Hg 0.000 0.500 0.000
Li 0.000 0.000 0.000
Hg 0.500 0.000 0.000
Re 0.500 0.500 0.500
Sn 0.000 0.000 0.500


[18]
## DyIn7Cu5 (SCAN)

Data for DyIn7Cu5 at its PBEsol-relaxed geometry.

Results
Spin magnetization (Bohr magnetons per cell): 0.00
Formation energy from the elements (kcal/mol of atoms): -2.72
Symmetry: Imm2

Lattice parameters (Å, degrees): 5.507 7.100 7.100 81.59 67.18 67.18
Positions (direct):
In 0.345 0.655 0.655
Cu 0.507 0.006 0.495
In 0.732 0.768 0.768
Cu 0.992 0.006 0.495
Cu 0.263 0.237 0.237
In 0.013 0.324 0.650
In 0.664 0.336 0.336
In 0.486 0.204 0.824
Dy 0.000 0.000 0.000
Cu 0.992 0.495 0.006
In 0.013 0.650 0.324
Cu 0.507 0.495 0.006
In 0.486 0.824 0.204


[19]
## YRu2W (SCAN)

Data for YRu2W at its PBEsol-relaxed geometry.

Results
Spin magnetization (Bohr magnetons per cell): 0.00
Formation energy from the elements (kcal/mol of atoms): 13.70
Symmetry: R3m
Offset from the most stable computed form (meV/atom): 733

Lattice parameters (Å, degrees): 2.810 2.810 9.717 81.69 81.69 60.00
Positions (direct):
Ru 0.748 0.748 0.755
W 0.490 0.490 0.530
Ru 0.009 0.009 0.974
Y 0.253 0.253 0.241


[20]
## Tl2As2Pb (SCAN)

Data for Tl2As2Pb at its PBEsol-relaxed geometry.

Results
Spin magnetization (Bohr magnetons per cell): 0.00
Formation energy from the elements (kcal/mol of atoms): 3.23
Symmetry: I4/mmm
Offset from the most stable computed form (meV/atom): 89

Lattice parameters (Å, degrees): 3.767 3.767 9.612 101.30 101.30 90.00
Positions (direct):
Tl 0.388 0.388 0.777
As 0.750 0.250 0.500
Pb 0.000 0.000 0.000
As 0.250 0.750 0.500
Tl 0.612 0.612 0.223


[21]
## MnGa2Cl (SCAN)

Data for MnGa2Cl at its PBEsol-relaxed geometry.

Results
Spin magnetization (Bohr magnetons per cell): 4.07
ΔE_f (raw) (eV per atom): 0.247
Symmetry: Fm-3m

Lattice parameters (Å, degrees): 4.736 4.736 4.736 60.00 60.00 60.00
Positions (direct):
Mn 0.500 0.500 0.500
Cl 0.000 0.000 0.000
Ga 0.250 0.250 0.250
Ga 0.750 0.750 0.750


[22]
## YMgCu2 (SCAN)

Data for YMgCu2 at its PBEsol-relaxed geometry.

Results
Spin magnetization (Bohr magnetons per cell): 0.00
Formation energy from the elements (kcal/mol of atoms): -3.90
Symmetry: P4/mmm

Lattice parameters (Å, degrees): 3.286 3.286 6.508 90.00 90.00 90.00
Positions (direct):
Y 0.500 0.500 0.500
Cu 0.000 0.000 0.775
Mg 0.500 0.500 0.000
Cu 0.000 0.000 0.225


[23]
## NbPdCl2 (SCAN)

Data for NbPdCl2 at its PBEsol-relaxed geometry.

Results
Spin magnetization (Bohr magnetons per cell): 0.00
ΔE_f (raw) (eV per atom): 0.040
Symmetry: Fm-3m

Lattice parameters (Å, degrees): 4.428 4.428 4.428 60.00 60.00 60.00
Positions (direct):
Cl 0.250 0.250 0.250
Pd 0.500 0.500 0.500
Nb 0.000 0.000 0.000
Cl 0.750 0.750 0.750


[24]
## AsPtBr (SCAN)

Data for AsPtBr at its PBEsol-relaxed geometry.

Results
Spin magnetization (Bohr magnetons per cell): 0.00
ΔE_f (raw) (eV per atom): -0.389
Symmetry: P3m1
Offset from the most stable computed form (meV/atom): 0

Lattice parameters (Å, degrees): 3.600 3.600 6.092 90.00 90.00 120.00
Positions (direct):
Pt 0.667 0.333 0.314
As 0.000 0.000 0.096
Br 0.333 0.667 0.590


[25]
## K2BeFe (SCAN)

Data for K2BeFe at its PBEsol-relaxed geometry.

Results
Spin magnetization (Bohr magnetons per cell): 3.12
Formation energy from the elements (kcal/mol of atoms): 28.92
Symmetry: P4/mmm

Lattice parameters (Å, degrees): 3.019 3.019 10.578 90.00 90.00 90.00
Positions (direct):
K 0.000 0.000 0.752
Fe 0.500 0.500 0.500
K 0.000 0.000 0.248
Be 0.500 0.500 0.000


[26]
## TaBe4Mo (SCAN)

Data for TaBe4Mo at its PBEsol-relaxed geometry.

Results
Spin magnetization (Bohr magnetons per cell): 0.41
Formation energy from the elements (kcal/mol of atoms): -6.68
Symmetry: F-43m
Offset from the most stable computed form (meV/atom): 0

Lattice parameters (Å, degrees): 4.505 4.505 4.505 60.00 60.00 60.00
Positions (direct):
Be 0.376 0.376 0.873
Be 0.376 0.376 0.376
Be 0.873 0.376 0.376
Mo 0.750 0.750 0.750
Be 0.376 0.873 0.376
Ta 0.000 0.000 0.000


[27]
## RbAl2Ga2 (SCAN)

Data for RbAl2Ga2 at its PBEsol-relaxed geometry.

Results
Spin magnetization (Bohr magnetons per cell): 0.00
Formation energy from the elements (kcal/mol of atoms): -1.56
Symmetry: I4/mmm

Lattice parameters (Å, degrees): 4.367 4.367 6.538 109.51 109.51 90.00
Positions (direct):
Al 0.750 0.250 0.500
Al 0.250 0.750 0.500
Ga 0.385 0.385 0.769
Rb 0.000 0.000 0.000
Ga 0.615 0.615 0.231


[28]
## CaLa2Zn (SCAN)

Data for CaLa2Zn at its PBEsol-relaxed geometry.

Results
Spin magnetization (Bohr magnetons per cell): 0.02
Formation energy from the elements (kcal/mol of atoms): -3.05
Symmetry: Immm

Lattice parameters (Å, degrees): 3.577 5.412 6.939 112.95 104.93 90.00
Positions (direct):
Zn 0.500 0.000 0.000
La 0.208 0.208 0.417
La 0.792 0.792 0.583
Ca 0.000 0.500 0.000


[29]
## ReGeIN2 (SCAN)

Data for ReGeIN2 at its PBEsol-relaxed geometry.

Results
Spin magnetization (Bohr magnetons per cell): 5.04
ΔE_f (raw) (eV per atom): 2.117
Symmetry: P4/mmm

Lattice parameters (Å, degrees): 3.783 3.783 6.196 90.00 90.00 90.00
Positions (direct):
N 0.500 0.000 0.000
Re 0.500 0.500 0.500
Ge 0.000 0.000 0.000
I 0.000 0.000 0.500
N 0.000 0.500 0.000


no.,total energy (eV/cell)
1,-208.14
2,-125.38
3,-89.34
4,-204.64
5,-141.69
6,-68.37
7,-244.14
8,-97.64
9,-279.04
10,-110.78
11,-161.95
12,-100.78
13,-93.33
14,-109.84
15,-73.60
16,-457.77
17,-239.82
18,-359.03
19,-164.81
20,-260.18
21,-57.94
22,-63.89
23,-81.70
24,-111.01
25,-34.12
26,-120.62
27,-69.27
28,-109.92
29,-134.92